1.
Computed, not measured: a relaxed LiReP crystal at the PBE-GGA level of DFT.

For the density, the calculation gives 9.007 Mg/m³. The volume is 41 Å³/cell. The calculation puts the total energy at -6.6837 eV per atom.

The space group is P3m1 (No. 156) and the conventional cell measures 4.0047, 4.0047 and 2.9749 Å, with angles of 90.00, 90.00 and 120.00 degrees. The asymmetric unit holds Li at (0.0000, 0.0000, 0.0000), Re at (0.3333, 0.6667, 0.4997) and P at (0.6667, 0.3333, 0.4968).

2.
Computed, not measured: a relaxed Li2Re2P crystal at the PBE-GGA level of DFT.

For the density, the calculation gives 8.636 Mg/m³. The volume is 160 Å³/cell. For the offset from the most stable computed form, the calculation gives 0.000 kcal/mol of atoms.

The space group is P4/mbm (No. 127) and the conventional cell measures 5.980, 5.980 and 4.488 Å, with angles of 90.00, 90.00 and 90.00 degrees. The asymmetric unit holds Li at (0.154, 0.346, 0.000), Re at (0.144, 0.644, 0.500) and P at (0.000, 0.000, 0.500).

3.
Computed, not measured: a relaxed Li2ReP2 crystal at the PBE-GGA level of DFT.

For the density, the calculation gives 6.310 Mg/m³. The volume is 138 Å³/cell. The calculation puts the total energy at -5.8529 eV per atom.

The space group is P4/mbm (No. 127) and the conventional cell measures 6.096, 6.096 and 3.712 Å, with angles of 90.00, 90.00 and 90.00 degrees. The asymmetric unit holds Li at (0.173, 0.327, 0.000), Re at (0.000, 0.000, 0.500) and P at (0.135, 0.635, 0.500).

4.
Computed, not measured: a relaxed LiReP4 crystal at the PBE-GGA level of DFT.

For the density, the calculation gives 6.261 Mg/m³. The volume is 336 Å³/cell. The calculation puts the total energy at -5.2835 eV per atom.

The space group is F-43m (No. 216) and the conventional cell measures 6.954, 6.954 and 6.954 Å, with angles of 90.00, 90.00 and 90.00 degrees. The asymmetric unit holds Li at (0.000, 0.000, 0.000), Re at (0.250, 0.250, 0.750) and P at (0.124, 0.124, 0.376).

5.
Computed, not measured: a relaxed Li3ReP crystal at the PBE-GGA level of DFT.

For the density, the calculation gives 3.522 Mg/m³. The volume is 112 Å³/cell. For the offset from the most stable computed form, the calculation gives 11.507 kcal/mol of atoms.

The space group is Pm-3m (No. 221) and the conventional cell measures 4.823, 4.823 and 4.823 Å, with angles of 90.00, 90.00 and 90.00 degrees. The asymmetric unit holds Li at (0.000, 0.000, 0.500), Re at (0.000, 0.000, 0.000) and P at (0.500, 0.500, 0.500).

6.
Computed, not measured: a relaxed LiReP crystal at the PBE-GGA level of DFT.

For the density, the calculation gives 8.341 Mg/m³. The volume is 178 Å³/cell. The calculation puts the total energy at -6.4341 eV per atom.

The space group is Fmm2 (No. 42) and the conventional cell measures 3.066, 4.668 and 12.470 Å, with angles of 90.00, 90.00 and 90.00 degrees. The asymmetric unit holds Li at (0.000, 0.000, 0.000), Re at (0.000, 0.000, 0.688) and P at (0.000, 0.000, 0.330).

7.
Computed, not measured: a relaxed LiReP crystal at the PBE-GGA level of DFT.

For the density, the calculation gives 8.873 Mg/m³. The volume is 168 Å³/cell. The calculation puts the total energy at -6.7387 eV per atom.

The space group is F-43m (No. 216) and the conventional cell measures 5.515, 5.515 and 5.515 Å, with angles of 90.00, 90.00 and 90.00 degrees. The asymmetric unit holds Li at (0.000, 0.000, 0.000), Re at (0.000, 0.000, 0.500) and P at (0.250, 0.250, 0.750).

8.
Computed, not measured: a relaxed LiReP crystal at the PBE-GGA level of DFT.

For the density, the calculation gives 9.638 Mg/m³. The volume is 77 Å³/cell. The calculation puts the total energy at -6.7168 eV per atom.

The space group is I4mm (No. 107) and the conventional cell measures 3.025, 3.025 and 8.439 Å, with angles of 90.00, 90.00 and 90.00 degrees. The asymmetric unit holds Li at (0.000, 0.000, 0.000), Re at (0.000, 0.000, 0.308) and P at (0.000, 0.000, 0.667).